# NpMn2Al

NpMn2Al after structural relaxation (PBE-GGA, Alexandria via LeMat-Bulk).

Cell lengths 4.2735, 4.2735, 3.2221 Å; angles 90.00, 90.00, 90.00 degrees
Closest atoms and distances in Å follow each position.
Atoms (fractional coordinates):
Np1 0.0000 0.0000 0.0000  8 Mn 2.68
Mn1 0.0000 0.5000 0.5000  4 Np 2.68, 4 Al 2.68
Mn2 0.5000 0.0000 0.5000  4 Np 2.68, 4 Al 2.68
Al1 0.5000 0.5000 0.0000  8 Mn 2.68

Results
* E_form: -0.068 eV/atom
* total energy: -8.82 eV per atom